1.
Density functional theory data (PBE-GGA) for a geometry-optimized CdInMoOs2 structure.

extended XYZ file:
```
5
Lattice="4.715 0.000 0.000 0.000 4.715 0.000 0.000 0.000 5.301" Properties=species:S:1:pos:R:3 pbc="T T T"
Cd 0.000 0.000 0.000
In 2.358 2.358 0.000
Mo 0.000 0.000 2.650
Os 0.000 2.358 2.650
Os 2.358 0.000 2.650
```

Properties
Density of states at the Fermi level: 5.47 states/eV/f.u.
M_tot: 0.0 μB/cell
ΔH_f (0 K): 1.64 eV/atom

2.
Density functional theory data (PBE-GGA) for a geometry-optimized Cd2InMoPt structure.

extended XYZ file:
```
5
Lattice="5.120 0.000 0.000 0.000 5.120 0.000 0.000 0.000 5.245" Properties=species:S:1:pos:R:3 pbc="T T T"
Cd 0.000 2.560 0.000
Cd 2.560 0.000 0.000
In 0.000 0.000 0.000
Mo 0.000 0.000 2.622
Pt 2.560 2.560 2.622
```

Properties
Density of states at the Fermi level: 3.23 states/eV/f.u.
M_tot: 3.2 μB/cell
ΔH_f (0 K): 1.47 eV/atom

3.
Density functional theory data (PBE-GGA) for a geometry-optimized CdIn2MoRu structure.

extended XYZ file:
```
5
Lattice="5.069 0.000 0.000 0.000 5.069 0.000 0.000 0.000 4.985" Properties=species:S:1:pos:R:3 pbc="T T T"
Cd 0.000 0.000 0.000
In 0.000 2.535 0.000
In 2.535 0.000 0.000
Mo 2.535 2.535 2.492
Ru 0.000 0.000 2.492
```

Properties
Density of states at the Fermi level: 5.41 states/eV/f.u.
M_tot: 2.2 μB/cell
ΔH_f (0 K): 1.74 eV/atom

4.
Density functional theory data (PBE-GGA) for a geometry-optimized VCd2InMo structure.

extended XYZ file:
```
5
Lattice="5.081 0.000 0.000 0.000 5.081 0.000 0.000 0.000 5.068" Properties=species:S:1:pos:R:3 pbc="T T T"
V 0.000 0.000 0.000
Cd 0.000 2.541 0.000
Cd 2.541 0.000 0.000
In 0.000 0.000 2.534
Mo 2.541 2.541 2.534
```

Properties
Density of states at the Fermi level: 6.45 states/eV/f.u.
M_tot: 5.2 μB/cell
ΔH_f (0 K): 1.49 eV/atom

5.
Density functional theory data (PBE-GGA) for a geometry-optimized Cd3In2N4 structure.

extended XYZ file:
```
18
Lattice="4.848 -5.292 0.000 4.848 5.292 0.000 -0.718 0.000 5.895" Properties=species:S:1:pos:R:3 pbc="T T T"
Cd 4.310 3.695 4.421
Cd 3.449 1.598 2.409
Cd 5.888 1.598 0.539
Cd 3.090 -1.598 5.356
Cd 5.529 -1.598 3.486
Cd 4.669 -3.695 1.474
In 1.438 1.191 5.123
In 1.797 -1.191 2.176
In 7.181 1.191 3.719
In 7.540 -1.191 0.772
N 1.469 0.833 2.933
N 3.852 2.287 0.089
N 1.110 -0.833 5.880
N 5.485 2.287 2.859
N 3.493 -2.287 3.036
N 7.869 0.833 0.014
N 5.126 -2.287 5.806
N 7.510 -0.833 2.962
```

Properties
Density of states at the Fermi level: 0.79 states/eV/f.u.
M_tot: 0.0 μB/cell
E_form (uncorrected): 456 meV/atom

6.
Density functional theory data (PBE-GGA) for a geometry-optimized CdInN3 structure.

extended XYZ file:
```
5
Lattice="4.248 0.000 0.000 0.000 4.248 0.000 0.000 0.000 4.248" Properties=species:S:1:pos:R:3 pbc="T T T"
Cd 0.000 0.000 0.000
In 2.124 2.124 2.124
N 0.000 0.000 2.124
N 0.000 2.124 0.000
N 2.124 0.000 0.000
```

Properties
Density of states at the Fermi level: 3.78 states/eV/f.u.
M_tot: 3.7 μB/cell
E_form (uncorrected): 2136 meV/atom

7.
Density functional theory data (PBE-GGA) for a geometry-optimized CdInN3 structure.

extended XYZ file:
```
5
Lattice="4.266 0.000 0.000 0.000 4.266 0.000 0.000 0.000 4.266" Properties=species:S:1:pos:R:3 pbc="T T T"
Cd 0.000 0.000 0.000
In 2.133 2.133 2.133
N 0.000 2.133 2.133
N 2.133 0.000 2.133
N 2.133 2.133 0.000
```

Properties
Density of states at the Fermi level: 1.58 states/eV/f.u.
M_tot: 4.0 μB/cell
E_form (uncorrected): 1838 meV/atom

8.
Density functional theory data (PBE-GGA) for a geometry-optimized Cd2InN2 structure.

extended XYZ file:
```
5
Lattice="1.558 -2.746 0.000 1.558 2.746 0.000 -0.588 0.000 15.389" Properties=species:S:1:pos:R:3 pbc="T T T"
Cd -0.107 0.000 4.675
Cd 2.636 0.000 10.714
In 1.265 0.000 7.694
N 0.006 0.000 0.557
N 2.523 0.000 14.832
```

Properties
Density of states at the Fermi level: 1.42 states/eV/f.u.
M_tot: 0.0 μB/cell
E_form (uncorrected): 113 meV/atom

9.
Density functional theory data (PBE-GGA) for a geometry-optimized CdInNO2 structure.

extended XYZ file:
```
5
Lattice="4.224 0.000 0.000 0.000 4.224 0.000 0.000 0.000 4.231" Properties=species:S:1:pos:R:3 pbc="T T T"
Cd 0.000 0.000 0.000
In 2.112 2.112 2.116
N 2.112 2.112 0.000
O 0.000 2.112 2.116
O 2.112 0.000 2.116
```

Properties
Density of states at the Fermi level: 2.02 states/eV/f.u.
M_tot: 2.0 μB/cell
E_form (uncorrected): 240 meV/atom

10.
Density functional theory data (PBE-GGA) for a geometry-optimized CdInNO2 structure.

extended XYZ file:
```
5
Lattice="4.193 0.000 0.000 0.000 4.193 0.000 0.000 0.000 4.245" Properties=species:S:1:pos:R:3 pbc="T T T"
Cd 0.000 0.000 0.000
In 2.096 2.096 2.122
N 0.000 0.000 2.122
O 0.000 2.096 0.000
O 2.096 0.000 0.000
```

Properties
Density of states at the Fermi level: 3.25 states/eV/f.u.
M_tot: 1.2 μB/cell
E_form (uncorrected): 636 meV/atom

11.
Density functional theory data (PBE-GGA) for a geometry-optimized PaCdInN structure.

extended XYZ file:
```
8
Lattice="4.062 0.000 0.000 0.000 4.062 0.000 0.000 0.000 10.383" Properties=species:S:1:pos:R:3 pbc="T T T"
Pa 1.015 1.015 1.094
Pa 3.046 3.046 9.289
Cd 1.015 3.046 5.191
Cd 3.046 1.015 5.191
In 1.015 1.015 7.438
In 3.046 3.046 2.945
N 1.015 3.046 0.000
N 3.046 1.015 0.000
```

Properties
Density of states at the Fermi level: 3.22 states/eV/f.u.
M_tot: 0.3 μB/cell
E_form (uncorrected): -729 meV/atom

12.
Density functional theory data (PBE-GGA) for a geometry-optimized Pa2CdInN5 structure.

extended XYZ file:
```
18
Lattice="1.769 -6.876 0.000 1.769 6.876 0.000 0.000 0.000 11.228" Properties=species:S:1:pos:R:3 pbc="T T T"
Pa 1.769 5.247 5.614
Pa 1.769 4.904 10.936
Pa 1.769 -4.904 5.322
Pa 1.769 -5.247 0.000
Cd 1.769 0.039 8.280
Cd 1.769 -0.039 2.666
In 1.769 3.789 2.689
In 1.769 -3.789 8.303
N 1.769 5.797 3.515
N 1.769 2.935 6.767
N 1.769 2.807 10.578
N 1.769 1.973 3.875
N 1.769 0.143 0.385
N 1.769 -0.143 6.000
N 1.769 -1.973 9.489
N 1.769 -2.807 4.963
N 1.769 -2.935 1.153
N 1.769 -5.797 9.129
```

Properties
M_tot: 0.0 μB/cell
E_form (uncorrected): -659 meV/atom

| no. | VASP energy (eV per atom) |
| --- | --- |
| 1 | -5.75 |
| 2 | -2.82 |
| 3 | -3.56 |
| 4 | -3.42 |
| 5 | -4.16 |
| 6 | -3.59 |
| 7 | -3.89 |
| 8 | -4.13 |
| 9 | -4.14 |
| 10 | -3.74 |
| 11 | -6.10 |
| 12 | -7.80 |